# 1
# CdTc4Au

CdTc4Au after structural relaxation (PBE, Alexandria).

Calculated values
total energy = -42.67 eV/f.u.
total magnetization = 0.0 μB per formula unit

```
data_CdTc4Au
_cell_length_a 7.3665
_cell_length_b 7.3665
_cell_length_c 7.3665
_cell_angle_alpha 90.00
_cell_angle_beta 90.00
_cell_angle_gamma 90.00
_space_group_name_H-M_alt 'F -4 3 m'
_space_group_IT_number 216
_space_group_name_Hall 'F -4 2 3'
loop_
_atom_site_label
_atom_site_fract_x
_atom_site_fract_y
_atom_site_fract_z
_atom_site_occupancy
Cd1 0.0000 0.0000 0.0000 1
Tc1 0.1244 0.1244 0.6244 1
Au1 0.2500 0.2500 0.2500 1
```

=====

# 2
# CdTc2Au

CdTc2Au after structural relaxation (PBE, Alexandria).

Calculated values
total energy = -22.87 eV/f.u.
total magnetization = 0.7 μB per formula unit

```
data_CdTc2Au
_cell_length_a 6.4479
_cell_length_b 6.4479
_cell_length_c 6.4479
_cell_angle_alpha 90.00
_cell_angle_beta 90.00
_cell_angle_gamma 90.00
_space_group_name_H-M_alt 'F -4 3 m'
_space_group_IT_number 216
_space_group_name_Hall 'F -4 2 3'
loop_
_atom_site_label
_atom_site_fract_x
_atom_site_fract_y
_atom_site_fract_z
_atom_site_occupancy
Cd1 0.0000 0.0000 0.0000 1
Tc1 0.0000 0.0000 0.5000 1
Tc2 0.2500 0.2500 0.7500 1
Au1 0.2500 0.2500 0.2500 1
```

=====

# 3
# CdTc2Au

CdTc2Au after structural relaxation (PBE, Alexandria).

Calculated values
total energy = -20.99 eV/f.u.
total magnetization = 2.4 μB per formula unit

```
data_CdTc2Au
_cell_length_a 7.5856
_cell_length_b 7.5856
_cell_length_c 5.2028
_cell_angle_alpha 90.00
_cell_angle_beta 90.00
_cell_angle_gamma 90.00
_space_group_name_H-M_alt 'I -4 2 d'
_space_group_IT_number 122
_space_group_name_Hall 'I -4 2bw'
loop_
_atom_site_label
_atom_site_fract_x
_atom_site_fract_y
_atom_site_fract_z
_atom_site_occupancy
Cd1 0.0000 0.0000 0.0000 1
Tc1 0.2366 0.2500 0.6250 1
Au1 0.0000 0.0000 0.5000 1
```

=====

# 4
# CdTc2Au

CdTc2Au after structural relaxation (PBE, Alexandria).

Calculated values
total energy = -24.55 eV/f.u.
total magnetization = 0.0 μB per formula unit

```
data_CdTc2Au
_cell_length_a 2.8434
_cell_length_b 2.8434
_cell_length_c 28.7107
_cell_angle_alpha 90.00
_cell_angle_beta 90.00
_cell_angle_gamma 120.00
_space_group_name_H-M_alt 'R 3 m'
_space_group_IT_number 160
_space_group_name_Hall 'R 3 -2"'
loop_
_atom_site_label
_atom_site_fract_x
_atom_site_fract_y
_atom_site_fract_z
_atom_site_occupancy
Cd1 0.0000 0.0000 0.0000 1
Tc1 0.0000 0.0000 0.2453 1
Tc2 0.0000 0.0000 0.5088 1
Au1 0.0000 0.0000 0.7564 1
```

=====

# 5
# CdTc2Au

CdTc2Au after structural relaxation (PBE, Alexandria).

Calculated values
total energy = -22.94 eV/f.u.
total magnetization = 0.0 μB per formula unit

```
data_CdTc2Au
_cell_length_a 2.8334
_cell_length_b 2.8334
_cell_length_c 28.5842
_cell_angle_alpha 90.00
_cell_angle_beta 90.00
_cell_angle_gamma 120.00
_space_group_name_H-M_alt 'R -3 m'
_space_group_IT_number 166
_space_group_name_Hall '-R 3 2"'
loop_
_atom_site_label
_atom_site_fract_x
_atom_site_fract_y
_atom_site_fract_z
_atom_site_occupancy
Cd1 0.0000 0.0000 0.0000 1
Tc1 0.0000 0.0000 0.2480 1
Au1 0.0000 0.0000 0.5000 1
```

=====

# 6
# CdTc2Au

CdTc2Au after structural relaxation (PBE, Alexandria).

Calculated values
total energy = -23.23 eV/f.u.
total magnetization = 0.0 μB per formula unit

```
data_CdTc2Au
_cell_length_a 9.7925
_cell_length_b 2.8401
_cell_length_c 4.8212
_cell_angle_alpha 90.00
_cell_angle_beta 99.93
_cell_angle_gamma 90.00
_space_group_name_H-M_alt 'C 1 2/m 1'
_space_group_IT_number 12
_space_group_name_Hall '-C 2y'
loop_
_atom_site_label
_atom_site_fract_x
_atom_site_fract_y
_atom_site_fract_z
_atom_site_occupancy
Cd1 0.0000 0.0000 0.0000 1
Tc1 0.2464 0.0000 0.7470 1
Au1 0.0000 0.5000 0.5000 1
```

=====

# 7
# CdTc3Au

CdTc3Au after structural relaxation (PBE, Alexandria).

Calculated values
total magnetization = 8.6 μB per formula unit
ΔE to the lowest computed polymorph = 0.0 meV per atom

```
data_CdTc3Au
_cell_length_a 4.9789
_cell_length_b 4.9789
_cell_length_c 4.9789
_cell_angle_alpha 90.00
_cell_angle_beta 90.00
_cell_angle_gamma 90.00
_space_group_name_H-M_alt 'P m -3 m'
_space_group_IT_number 221
_space_group_name_Hall '-P 4 2 3'
loop_
_atom_site_label
_atom_site_fract_x
_atom_site_fract_y
_atom_site_fract_z
_atom_site_occupancy
Cd1 0.0000 0.0000 0.0000 1
Tc1 0.0000 0.5000 0.5000 1
Au1 0.5000 0.5000 0.5000 1
```

=====

# 8
# CdTc2Au

CdTc2Au after structural relaxation (PBE, Alexandria).

Calculated values
total energy = -23.80 eV/f.u.
total magnetization = 0.0 μB per formula unit

```
data_CdTc2Au
_cell_length_a 2.9551
_cell_length_b 4.7122
_cell_length_c 9.7611
_cell_angle_alpha 90.00
_cell_angle_beta 90.00
_cell_angle_gamma 90.00
_space_group_name_H-M_alt 'C m m 2'
_space_group_IT_number 35
_space_group_name_Hall 'C 2 -2'
loop_
_atom_site_label
_atom_site_fract_x
_atom_site_fract_y
_atom_site_fract_z
_atom_site_occupancy
Cd1 0.0000 0.0000 0.0000 1
Tc1 0.0000 0.0000 0.5256 1
Tc2 0.0000 0.5000 0.7386 1
Au1 0.0000 0.5000 0.2685 1
```

=====

Repeat the seventh record exactly.
# CdTc3Au

CdTc3Au after structural relaxation (PBE, Alexandria).

Calculated values
total magnetization = 8.6 μB per formula unit
ΔE to the lowest computed polymorph = 0.0 meV per atom

```
data_CdTc3Au
_cell_length_a 4.9789
_cell_length_b 4.9789
_cell_length_c 4.9789
_cell_angle_alpha 90.00
_cell_angle_beta 90.00
_cell_angle_gamma 90.00
_space_group_name_H-M_alt 'P m -3 m'
_space_group_IT_number 221
_space_group_name_Hall '-P 4 2 3'
loop_
_atom_site_label
_atom_site_fract_x
_atom_site_fract_y
_atom_site_fract_z
_atom_site_occupancy
Cd1 0.0000 0.0000 0.0000 1
Tc1 0.0000 0.5000 0.5000 1
Au1 0.5000 0.5000 0.5000 1
```

=====

> Number 5 is which compound?

CdTc2Au

=====

> The highest total magnetization belongs to which entry?

CdTc3Au